Material: SrHg4Pb
Method: DFT, PBE-GGA
State: relaxed

Properties
D(E_F) (states/eV/atom): 0.546
Space-group type: F-43m (216)
Energy above the lowest structure with this stoichiometry (eV/f.u.): 0.35
Formation energy (eV per atom): -0.210

Cell: 6.2012 6.2012 6.2012 Å, 60.00 60.00 60.00°
Last column: nearest neighbours and their distance in Å.
Fractional coordinates of all 6 atoms:
Hg1 0.6247 0.1258 0.6247  6 Hg 3.09-3.11
Hg2 0.1258 0.6247 0.6247  6 Hg 3.09-3.11
Hg3 0.6247 0.6247 0.6247  6 Hg 3.09-3.11
Hg4 0.6247 0.6247 0.1258  6 Hg 3.09-3.11
Pb1 0.2500 0.2500 0.2500  12 Hg 3.64, 4 Sr 3.80
Sr1 0.0000 0.0000 0.0000  12 Hg 3.64, 4 Pb 3.80

Material: NiB2Cl8
Method: DFT, PBE-GGA
State: relaxed

Properties
Space-group type: C2/c (15)
Energy above the lowest structure with this stoichiometry (eV/f.u.): 0.00
Formation energy from raw total energies (kJ/mol of formula units): -847.1

Cell: 8.5162 9.4135 9.8450 Å, 66.77 64.37 63.11°
Last column: nearest neighbours and their distance in Å.
Fractional coordinates of all 22 atoms:
Ni1 0.9784 0.7500 0.2500  6 Cl 2.37-2.45
Ni2 0.0216 0.2500 0.7500  6 Cl 2.37-2.45
B1 0.8579 0.8730 0.9640  4 Cl 1.79-1.90
B2 0.3050 0.3730 0.4640  4 Cl 1.79-1.90
B3 0.6950 0.6270 0.5360  4 Cl 1.79-1.90
B4 0.1421 0.1270 0.0360  4 Cl 1.79-1.90
Cl1 0.4518 0.7275 0.5606  1 B 1.79
Cl2 0.1092 0.9522 0.2135  1 B 1.89
Cl3 0.7307 0.9514 0.1453  1 B 1.88
Cl4 0.1918 0.2258 0.4914  1 B 1.90
Cl5 0.2693 0.0486 0.8547  1 B 1.88
Cl6 0.9090 0.2742 0.0086  1 B 1.90
Cl7 0.8082 0.7742 0.5086  1 B 1.90
Cl8 0.1726 0.4514 0.6453  1 B 1.88
Cl9 0.0910 0.7258 0.9914  1 B 1.90
Cl10 0.7399 0.7725 0.9394  1 B 1.79
Cl11 0.7251 0.4522 0.7135  1 B 1.89
Cl12 0.2749 0.5478 0.2865  1 B 1.89
Cl13 0.2601 0.2275 0.0606  1 B 1.79
Cl14 0.8274 0.5486 0.3547  1 B 1.88
Cl15 0.5482 0.2725 0.4394  1 B 1.79
Cl16 0.8908 0.0478 0.7865  1 B 1.89

Material: Mn2V5Ge
Method: DFT, PBE-GGA
State: relaxed

Properties
D(E_F) (states/eV/atom): 1.195
Space-group type: I4/mcm (140)
Formation energy (eV per atom): 0.010

Cell: 5.8867 5.8867 7.4448 Å, 113.29 113.29 90.00°
Last column: nearest neighbours and their distance in Å.
Fractional coordinates of all 16 atoms:
Mn1 0.1463 0.3537 0.0000  4 V 2.25-2.46, 1 Mn 2.44
Mn2 0.6463 0.1463 0.0000  4 V 2.25-2.46, 1 Mn 2.44
Mn3 0.3537 0.8537 0.0000  4 V 2.25-2.46, 1 Mn 2.44
Mn4 0.8537 0.6463 0.0000  4 V 2.25-2.46, 1 Mn 2.44
V1 0.5107 0.6848 0.6955  3 Mn 2.46-2.62, 2 Ge 2.51, 1 V 2.71
V2 0.8152 0.9893 0.3045  3 Mn 2.46-2.62, 2 Ge 2.51, 1 V 2.71
V3 0.0000 0.0000 0.0000  4 Mn 2.25
V4 0.5000 0.5000 0.0000  4 Mn 2.25
V5 0.1848 0.0107 0.6955  3 Mn 2.46-2.62, 2 Ge 2.51, 1 V 2.71
V6 0.6848 0.1848 0.6955  3 Mn 2.46-2.62, 2 Ge 2.51, 1 V 2.71
V7 0.0107 0.5107 0.6955  3 Mn 2.46-2.62, 2 Ge 2.51, 1 V 2.71
V8 0.3152 0.8152 0.3045  3 Mn 2.46-2.62, 2 Ge 2.51, 1 V 2.71
V9 0.9893 0.4893 0.3045  3 Mn 2.46-2.62, 2 Ge 2.51, 1 V 2.71
V10 0.4893 0.3152 0.3045  3 Mn 2.46-2.62, 2 Ge 2.51, 1 V 2.71
Ge1 0.7500 0.7500 0.5000  8 V 2.51
Ge2 0.2500 0.2500 0.5000  8 V 2.51

Material: Mn2AlSb
Method: DFT, PBE-GGA
State: relaxed

Properties
D(E_F) (states/eV/atom): 0.717
Space-group type: P4mm (99)
Energy above the lowest structure with this stoichiometry (eV/f.u.): 0.00
Formation energy from raw total energies (kJ/mol of formula units): 24.3

Cell: 3.4516 3.4516 5.3944 Å, 90.00 90.00 90.00°
Last column: nearest neighbours and their distance in Å.
Fractional coordinates of all 4 atoms:
Sb1 0.0000 0.0000 0.4754  6 Mn 2.63-2.76
Mn1 0.0000 0.0000 0.9876  2 Sb 2.63-2.76, 4 Al 2.67, 4 Mn 2.82
Mn2 0.5000 0.5000 0.2489  1 Al 2.48, 4 Sb 2.73
Al1 0.5000 0.5000 0.7882  5 Mn 2.48-2.67

Material: K2YMg
Method: DFT, PBE-GGA
State: relaxed

Properties
D(E_F) (states/eV/atom): 1.455
Space-group type: I-4m2 (119)
Formation energy (eV per atom): 0.502

Cell: 6.1285 6.1285 6.1285 Å, 119.82 119.82 90.30°
Last column: nearest neighbours and their distance in Å.
Fractional coordinates of all 4 atoms:
K1 0.0000 0.0000 0.0000  4 Y 3.76, 4 K 3.76
K2 0.2500 0.7500 0.5000  4 K 3.76, 4 Mg 3.76
Mg1 0.5000 0.5000 0.0000  4 K 3.76, 4 Y 3.76
Y1 0.7500 0.2500 0.5000  4 Mg 3.76, 4 K 3.76

Material: BeCdCo2
Method: DFT, PBE-GGA
State: relaxed

Properties
D(E_F) (states/eV/atom): 0.910
Space-group type: Cm (8)
Energy above the lowest structure with this stoichiometry (eV/f.u.): 0.63
Formation energy (eV per atom): 0.250

Cell: 4.2362 4.2362 4.8652 Å, 81.03 81.03 36.94°
Last column: nearest neighbours and their distance in Å.
Fractional coordinates of all 4 atoms:
Be1 0.4862 0.4862 0.5708  5 Co 2.21-2.44
Co1 0.0106 0.0106 0.9240  2 Be 2.21, 3 Co 2.36-2.41
Co2 0.7535 0.7535 0.7483  3 Be 2.35-2.44, 3 Co 2.36-2.41
Cd1 0.2498 0.2498 0.2569  3 Be 2.63-2.75, 2 Cd 2.68, 7 Co 2.71-2.81

Material: CaZrIr2
Method: DFT, PBE-GGA
State: relaxed

Properties
D(E_F) (states/eV/atom): 0.525
Space-group type: Pmm2 (25)
Formation energy (eV per atom): -0.197

Cell: 3.0448 4.5657 5.5599 Å, 90.00 90.00 90.00°
Last column: nearest neighbours and their distance in Å.
Fractional coordinates of all 4 atoms:
Ca1 0.5000 0.5000 0.8063  6 Ir 2.77-2.85, 2 Ca 3.04
Ir1 0.0000 0.0000 0.9460  2 Zr 2.77-2.79, 4 Ca 2.85, 2 Ir 3.04
Ir2 0.5000 0.5000 0.3039  2 Ca 2.77-2.79, 4 Zr 2.85, 2 Ir 3.04
Zr1 0.0000 0.0000 0.4439  6 Ir 2.77-2.85, 2 Zr 3.04

Material: SmTmPu2Te5
Method: DFT, PBE-GGA
State: relaxed

Properties
D(E_F) (states/eV/atom): 3.634
Space-group type: P4/mmm (123)
Formation energy from raw total energies (kJ/mol of formula units): -623.6

Cell: 5.4669 5.4669 11.6611 Å, 90.00 90.00 90.00°
Last column: nearest neighbours and their distance in Å.
Fractional coordinates of all 9 atoms:
Sm1 0.0000 0.0000 0.0000  2 Te 2.89
Tm1 0.0000 0.0000 0.5000  6 Te 2.73-2.94
Pu1 0.5000 0.5000 0.3189  5 Te 3.45-3.72
Pu2 0.5000 0.5000 0.6811  5 Te 3.45-3.72
Te1 0.0000 0.5000 0.5000  2 Tm 2.73
Te2 0.5000 0.0000 0.5000  2 Tm 2.73
Te3 0.0000 0.0000 0.7520  1 Sm 2.89, 1 Tm 2.94
Te4 0.0000 0.0000 0.2480  1 Sm 2.89, 1 Tm 2.94
Te5 0.5000 0.5000 0.0000  2 Pu 3.72, 4 Sm 3.87